Material: YTeO4
Method: DFT, PBE
State: relaxed

Properties
The total magnetic moment is 0.00 Bohr magnetons per cell. The calculation puts the distance to the lowest polymorph of the same formula at 361.7 meV/atom.

```
data_YTeO4
_chemical_formula_sum 'Y2 Te2 O8'
_symmetry_space_group_name_H-M 'I -4'
_symmetry_Int_Tables_number 82
_symmetry_space_group_name_Hall 'I -4'
_cell_length_a 7.243
_cell_length_b 7.243
_cell_length_c 3.263
_cell_angle_alpha 90.00
_cell_angle_beta 90.00
_cell_angle_gamma 90.00
loop_
_atom_site_label
_atom_site_fract_x
_atom_site_fract_y
_atom_site_fract_z
Y1 0.000 0.000 0.000
Te1 0.000 0.500 0.250
O1 0.032 0.249 0.450
```



Material: KSiSe
Method: DFT, PBE
State: relaxed

Properties
The total magnetic moment is 0.00 Bohr magnetons per cell. The calculation puts the distance to the lowest polymorph of the same formula at 421.2 meV/atom.

```
data_KSiSe
_chemical_formula_sum 'K4 Si4 Se4'
_symmetry_space_group_name_H-M 'F -4 3 m'
_symmetry_Int_Tables_number 216
_symmetry_space_group_name_Hall 'F -4 2 3'
_cell_length_a 7.038
_cell_length_b 7.038
_cell_length_c 7.038
_cell_angle_alpha 90.00
_cell_angle_beta 90.00
_cell_angle_gamma 90.00
loop_
_atom_site_label
_atom_site_fract_x
_atom_site_fract_y
_atom_site_fract_z
K1 0.000 0.000 0.000
Si1 0.250 0.250 0.750
Se1 0.000 0.000 0.500
```



Material: PmRhAu
Method: DFT, PBE
State: relaxed

Properties
The total magnetic moment is 0.00 Bohr magnetons per cell. The calculation puts the distance to the lowest polymorph of the same formula at 61.2 meV/atom.

```
data_PmRhAu
_chemical_formula_sum 'Pm2 Rh2 Au2'
_symmetry_space_group_name_H-M 'I 4 m m'
_symmetry_Int_Tables_number 107
_symmetry_space_group_name_Hall 'I 4 -2'
_cell_length_a 3.647
_cell_length_b 3.647
_cell_length_c 9.367
_cell_angle_alpha 90.00
_cell_angle_beta 90.00
_cell_angle_gamma 90.00
loop_
_atom_site_label
_atom_site_fract_x
_atom_site_fract_y
_atom_site_fract_z
Pm1 0.000 0.000 0.000
Rh1 0.000 0.000 0.339
Au1 0.000 0.000 0.679
```



Material: PmPbAu2
Method: DFT, PBE
State: relaxed

Properties
The total magnetic moment is 0.00 Bohr magnetons per cell. The calculation puts the distance to the lowest polymorph of the same formula at 67.9 meV/atom.

```
data_PmPbAu2
_chemical_formula_sum 'Pm1 Pb1 Au2'
_symmetry_space_group_name_H-M 'P 4/m m m'
_symmetry_Int_Tables_number 123
_symmetry_space_group_name_Hall '-P 4 2'
_cell_length_a 3.843
_cell_length_b 3.843
_cell_length_c 6.697
_cell_angle_alpha 90.00
_cell_angle_beta 90.00
_cell_angle_gamma 90.00
loop_
_atom_site_label
_atom_site_fract_x
_atom_site_fract_y
_atom_site_fract_z
Pm1 0.000 0.000 0.000
Pb1 0.000 0.000 0.500
Au1 0.500 0.500 0.230
```



Material: Li5CaPd6
Method: DFT, PBE
State: relaxed

Properties
The total magnetic moment is 0.00 Bohr magnetons per cell. For the raw total energy, the calculation gives -4.00 eV per atom.

```
data_Li5CaPd6
_chemical_formula_sum 'Li10 Ca2 Pd12'
_symmetry_space_group_name_H-M 'C m m m'
_symmetry_Int_Tables_number 65
_symmetry_space_group_name_Hall '-C 2 2'
_cell_length_a 4.317
_cell_length_b 12.899
_cell_length_c 6.431
_cell_angle_alpha 90.00
_cell_angle_beta 90.00
_cell_angle_gamma 90.00
loop_
_atom_site_label
_atom_site_fract_x
_atom_site_fract_y
_atom_site_fract_z
Li1 0.000 0.000 0.000
Li2 0.000 0.327 0.500
Li3 0.000 0.334 0.000
Ca1 0.000 0.000 0.500
Pd1 0.000 0.173 0.232
Pd2 0.000 0.500 0.222
```



Material: NbCo4Pd
Method: DFT, PBE
State: relaxed

Properties
The total magnetic moment is 19.52 Bohr magnetons per cell. For the raw total energy, the calculation gives -7.42 eV per atom.

```
data_NbCo4Pd
_chemical_formula_sum 'Nb4 Co16 Pd4'
_symmetry_space_group_name_H-M 'F -4 3 m'
_symmetry_Int_Tables_number 216
_symmetry_space_group_name_Hall 'F -4 2 3'
_cell_length_a 6.719
_cell_length_b 6.719
_cell_length_c 6.719
_cell_angle_alpha 90.00
_cell_angle_beta 90.00
_cell_angle_gamma 90.00
loop_
_atom_site_label
_atom_site_fract_x
_atom_site_fract_y
_atom_site_fract_z
Nb1 0.000 0.000 0.000
Co1 0.125 0.125 0.375
Pd1 0.250 0.250 0.750
```



Material: Tm6SbPb3Se2
Method: DFT, PBE
State: relaxed

Properties
The total magnetic moment is 0.00 Bohr magnetons per cell. For the raw total energy, the calculation gives -5.01 eV per atom.

```
data_Tm6SbPb3Se2
_chemical_formula_sum 'Tm12 Sb2 Pb6 Se4'
_symmetry_space_group_name_H-M 'C 1 2/m 1'
_symmetry_Int_Tables_number 12
_symmetry_space_group_name_Hall '-C 2y'
_cell_length_a 7.280
_cell_length_b 12.505
_cell_length_c 7.638
_cell_angle_alpha 90.00
_cell_angle_beta 108.35
_cell_angle_gamma 90.00
loop_
_atom_site_label
_atom_site_fract_x
_atom_site_fract_y
_atom_site_fract_z
Tm1 0.235 0.000 0.233
Tm2 0.250 0.171 0.760
Sb1 0.000 0.500 0.000
Pb1 0.000 0.000 0.500
Pb2 0.000 0.339 0.500
Se1 0.000 0.167 0.000
```



Material: NpInCl4
Method: DFT, PBE
State: relaxed

Properties
The total magnetic moment is 16.00 Bohr magnetons per cell. The calculation puts the distance to the lowest polymorph of the same formula at 35.1 meV/atom.

```
data_NpInCl4
_chemical_formula_sum 'Np4 In4 Cl16'
_symmetry_space_group_name_H-M 'C 1 2/c 1'
_symmetry_Int_Tables_number 15
_symmetry_space_group_name_Hall '-C 2yc'
_cell_length_a 9.361
_cell_length_b 13.698
_cell_length_c 6.699
_cell_angle_alpha 90.00
_cell_angle_beta 121.21
_cell_angle_gamma 90.00
loop_
_atom_site_label
_atom_site_fract_x
_atom_site_fract_y
_atom_site_fract_z
Np1 0.000 0.016 0.250
In1 0.000 0.366 0.750
Cl1 0.100 0.157 0.058
Cl2 0.228 0.443 0.296
```



Material: SrRe3Pt
Method: DFT, PBE
State: relaxed

Properties
The total magnetic moment is 0.00 Bohr magnetons per cell. The calculation puts the distance to the lowest polymorph of the same formula at 0.0 meV/atom.

```
data_SrRe3Pt
_chemical_formula_sum 'Sr1 Re3 Pt1'
_symmetry_space_group_name_H-M 'P m -3 m'
_symmetry_Int_Tables_number 221
_symmetry_space_group_name_Hall '-P 4 2 3'
_cell_length_a 4.871
_cell_length_b 4.871
_cell_length_c 4.871
_cell_angle_alpha 90.00
_cell_angle_beta 90.00
_cell_angle_gamma 90.00
loop_
_atom_site_label
_atom_site_fract_x
_atom_site_fract_y
_atom_site_fract_z
Sr1 0.000 0.000 0.000
Re1 0.000 0.500 0.500
Pt1 0.500 0.500 0.500
```



Material: LiAsW
Method: DFT, PBE
State: relaxed

Properties
The total magnetic moment is 5.19 Bohr magnetons per cell. The calculation puts the distance to the lowest polymorph of the same formula at 608.2 meV/atom.

```
data_LiAsW
_chemical_formula_sum 'Li4 As4 W4'
_symmetry_space_group_name_H-M 'F -4 3 m'
_symmetry_Int_Tables_number 216
_symmetry_space_group_name_Hall 'F -4 2 3'
_cell_length_a 5.876
_cell_length_b 5.876
_cell_length_c 5.876
_cell_angle_alpha 90.00
_cell_angle_beta 90.00
_cell_angle_gamma 90.00
loop_
_atom_site_label
_atom_site_fract_x
_atom_site_fract_y
_atom_site_fract_z
Li1 0.000 0.000 0.000
As1 0.250 0.250 0.750
W1 0.000 0.000 0.500
```



Material: NdGdPuCd
Method: DFT, PBE
State: relaxed

Properties
The total magnetic moment is 3.91 Bohr magnetons per cell. For the raw total energy, the calculation gives -8.46 eV per atom.

```
data_NdGdPuCd
_chemical_formula_sum 'Nd4 Gd4 Pu4 Cd4'
_symmetry_space_group_name_H-M 'F -4 3 m'
_symmetry_Int_Tables_number 216
_symmetry_space_group_name_Hall 'F -4 2 3'
_cell_length_a 7.739
_cell_length_b 7.739
_cell_length_c 7.739
_cell_angle_alpha 90.00
_cell_angle_beta 90.00
_cell_angle_gamma 90.00
loop_
_atom_site_label
_atom_site_fract_x
_atom_site_fract_y
_atom_site_fract_z
Nd1 0.000 0.000 0.000
Gd1 0.000 0.000 0.500
Pu1 0.250 0.250 0.750
Cd1 0.250 0.250 0.250
```